No. 1
Here is a relaxed BaYTl2 crystal from Alexandria via LeMat-Bulk. Energies are from PBE-GGA.

extended XYZ file:
```
4
Lattice="2.7304 -2.7341 0.0000 2.7304 2.7341 0.0000 0.0000 0.0000 9.3793" Properties=species:S:1:pos:R:3 pbc="T T T"
Ba 0.0000 0.0000 0.0000
Y 2.7304 0.0000 3.0961
Tl 0.0000 0.0000 4.9380
Tl 2.7304 0.0000 6.8557
```

## Properties
* density of states at the Fermi level: 5.3 states/eV/cell
* density: 7530 kg/m³
* space group: No. 35
* electronic total energy: -3.360 eV per atom
* DFT formation energy: -81 meV/atom

No. 2
Here is a relaxed BaYTl2 crystal from Alexandria via LeMat-Bulk. Energies are from PBE-GGA.

extended XYZ file:
```
4
Lattice="-2.4078 2.4078 5.7961 2.4078 -2.4078 5.7961 2.4078 2.4078 -5.7961" Properties=species:S:1:pos:R:3 pbc="T T T"
Ba 0.0000 0.0000 0.0000
Y 0.0000 2.4078 2.8980
Tl 2.4078 0.0000 2.8980
Tl 0.0000 0.0000 5.7961
```

## Properties
* density of states at the Fermi level: 4.6 states/eV/cell
* density: 7845 kg/m³
* space group: No. 119
* electronic total energy: -3.403 eV per atom
* DFT formation energy: -123 meV/atom

No. 3
Here is a relaxed BaY4Tl crystal from Alexandria via LeMat-Bulk. Energies are from PBE-GGA.

extended XYZ file:
```
6
Lattice="0.0000 4.7573 4.7573 4.7573 0.0000 4.7573 4.7573 4.7573 0.0000" Properties=species:S:1:pos:R:3 pbc="T T T"
Ba 0.0000 0.0000 0.0000
Y 3.5756 3.5756 3.5756
Y 5.9391 5.9391 3.5756
Y 5.9391 3.5756 5.9391
Y 3.5756 5.9391 5.9391
Tl 7.1360 7.1360 7.1360
```

## Properties
* density of states at the Fermi level: 6.3 states/eV/cell
* density: 5377 kg/m³
* space group: No. 216
* electronic total energy: -4.752 eV per atom
* DFT formation energy: 272 meV/atom

No. 4
Here is a relaxed BaY2Tl2 crystal from Alexandria via LeMat-Bulk. Energies are from PBE-GGA.

extended XYZ file:
```
10
Lattice="9.5738 0.0000 0.0000 0.0000 9.5738 0.0000 0.0000 0.0000 3.5917" Properties=species:S:1:pos:R:3 pbc="T T T"
Ba 0.0000 0.0000 0.0000
Ba 4.7869 4.7869 0.0000
Y 1.2945 3.4924 1.7958
Y 3.4924 8.2793 1.7958
Y 6.0814 1.2945 1.7958
Y 8.2793 6.0814 1.7958
Tl 1.5701 6.3569 0.0000
Tl 3.2168 1.5701 0.0000
Tl 6.3569 8.0037 0.0000
Tl 8.0037 3.2168 0.0000
```

## Properties
* density of states at the Fermi level: 12.7 states/eV/cell
* density: 7303 kg/m³
* space group: No. 127
* electronic total energy: -4.158 eV per atom
* DFT formation energy: -241 meV/atom

No. 5
Here is a relaxed BaYTl crystal from Alexandria via LeMat-Bulk. Energies are from PBE-GGA.

extended XYZ file:
```
3
Lattice="5.5542 0.0000 0.0000 -2.7771 4.8101 0.0000 0.0000 0.0000 4.1753" Properties=species:S:1:pos:R:3 pbc="T T T"
Ba 0.0000 0.0000 0.0000
Y 0.0000 3.2067 2.0877
Tl 2.7771 1.6034 2.0877
```

## Properties
* density of states at the Fermi level: 4.2 states/eV/cell
* density: 6410 kg/m³
* space group: No. 187
* electronic total energy: -3.686 eV per atom
* DFT formation energy: -101 meV/atom

No. 6
Here is a relaxed BaYTl3 crystal from Alexandria via LeMat-Bulk. Energies are from PBE-GGA.

extended XYZ file:
```
5
Lattice="6.1192 0.0000 0.0000 0.0000 6.1192 0.0000 0.0000 0.0000 6.1192" Properties=species:S:1:pos:R:3 pbc="T T T"
Ba 0.0000 0.0000 0.0000
Y 3.0596 3.0596 3.0596
Tl 0.0000 0.0000 3.0596
Tl 0.0000 3.0596 0.0000
Tl 3.0596 0.0000 0.0000
```

## Properties
* density of states at the Fermi level: 9.9 states/eV/cell
* density: 6083 kg/m³
* space group: No. 221
* electronic total energy: -2.318 eV per atom
* DFT formation energy: 779 meV/atom

No. 7
Here is a relaxed BaYTl2 crystal from Alexandria via LeMat-Bulk. Energies are from PBE-GGA.

extended XYZ file:
```
4
Lattice="0.0000 4.0714 4.0714 4.0714 0.0000 4.0714 4.0714 4.0714 0.0000" Properties=species:S:1:pos:R:3 pbc="T T T"
Ba 0.0000 0.0000 0.0000
Y 2.0357 2.0357 2.0357
Tl 4.0714 4.0714 4.0714
Tl 6.1071 6.1071 6.1071
```

## Properties
* density of states at the Fermi level: 6.0 states/eV/cell
* density: 7812 kg/m³
* space group: No. 216
* electronic total energy: -3.198 eV per atom
* DFT formation energy: 82 meV/atom

No. 8
Here is a relaxed BaYTl crystal from Alexandria via LeMat-Bulk. Energies are from PBE-GGA.

extended XYZ file:
```
6
Lattice="-3.4133 3.6023 4.4379 3.4133 -3.6023 4.4379 3.4133 3.6023 -4.4379" Properties=species:S:1:pos:R:3 pbc="T T T"
Ba 0.0000 1.8011 1.2304
Ba 3.4133 1.8011 3.2074
Y 1.7067 1.8011 -2.2189
Y 1.7067 -1.8011 2.2189
Tl 3.4133 0.0000 0.0000
Tl 0.0000 0.0000 4.4379
```

## Properties
* density of states at the Fermi level: 3.6 states/eV/cell
* density: 6552 kg/m³
* space group: No. 74
* electronic total energy: -3.803 eV per atom
* DFT formation energy: -218 meV/atom

No. 9
Here is a relaxed BaYTl crystal from Alexandria via LeMat-Bulk. Energies are from PBE-GGA.

extended XYZ file:
```
6
Lattice="2.1036 -9.0805 0.0000 2.1036 9.0805 0.0000 0.0000 0.0000 5.7824" Properties=species:S:1:pos:R:3 pbc="T T T"
Ba 2.1036 7.7940 4.3368
Ba 2.1036 -7.7940 1.4456
Y 2.1036 4.8165 1.4456
Y 2.1036 -4.8165 4.3368
Tl 2.1036 1.9792 4.3368
Tl 2.1036 -1.9792 1.4456
```

## Properties
* density of states at the Fermi level: 7.1 states/eV/cell
* density: 6474 kg/m³
* space group: No. 63
* electronic total energy: -3.805 eV per atom
* DFT formation energy: -220 meV/atom

No. 10
Here is a relaxed BaYTl2 crystal from Alexandria via LeMat-Bulk. Energies are from PBE-GGA.

extended XYZ file:
```
4
Lattice="-1.9780 2.5191 7.3699 1.9780 -2.5191 7.3699 1.9780 2.5191 -7.3699" Properties=species:S:1:pos:R:3 pbc="T T T"
Ba 0.0000 0.0000 0.0000
Y 0.0000 2.5191 3.5926
Tl 1.9780 0.0000 3.0711
Tl 0.0000 0.0000 5.6759
```

## Properties
* density of states at the Fermi level: 3.7 states/eV/cell
* density: 7178 kg/m³
* space group: No. 44
* electronic total energy: -3.503 eV per atom
* DFT formation energy: -223 meV/atom

No. 11
Here is a relaxed Ba3YTl4 crystal from Alexandria via LeMat-Bulk. Energies are from PBE-GGA.

extended XYZ file:
```
8
Lattice="4.1138 0.0000 0.0000 0.0000 4.1138 0.0000 0.0000 0.0000 17.0618" Properties=species:S:1:pos:R:3 pbc="T T T"
Ba 0.0000 0.0000 0.0000
Ba 0.0000 0.0000 4.4879
Ba 0.0000 0.0000 12.5739
Y 0.0000 0.0000 8.5309
Tl 2.0569 2.0569 2.1859
Tl 2.0569 2.0569 6.8459
Tl 2.0569 2.0569 10.2159
Tl 2.0569 2.0569 14.8759
```

## Properties
* density of states at the Fermi level: 6.6 states/eV/cell
* density: 7582 kg/m³
* space group: No. 123
* electronic total energy: -3.089 eV per atom
* DFT formation energy: -377 meV/atom

No. 12
Here is a relaxed BaYTl crystal from Alexandria via LeMat-Bulk. Energies are from PBE-GGA.

extended XYZ file:
```
3
Lattice="-2.0221 2.0221 6.9446 2.0221 -2.0221 6.9446 2.0221 2.0221 -6.9446" Properties=species:S:1:pos:R:3 pbc="T T T"
Ba 0.0000 0.0000 0.0000
Y 0.0000 0.0000 10.0244
Tl 0.0000 0.0000 4.4735
```

## Properties
* density of states at the Fermi level: 4.0 states/eV/cell
* density: 6295 kg/m³
* space group: No. 107
* electronic total energy: -3.743 eV per atom
* DFT formation energy: -159 meV/atom

No. 13
Here is a relaxed BaYTl2 crystal from Alexandria via LeMat-Bulk. Energies are from PBE-GGA.

extended XYZ file:
```
8
Lattice="-2.8264 2.8264 10.4865 2.8264 -2.8264 10.4865 2.8264 2.8264 -10.4865" Properties=species:S:1:pos:R:3 pbc="T T T"
Ba 0.0000 0.0000 0.0000
Ba 0.0000 2.8264 5.2432
Y 2.8264 0.0000 5.2432
Y 0.0000 0.0000 10.4865
Tl 1.4132 -0.8879 7.8649
Tl 1.9385 1.4132 2.6216
Tl 1.4132 3.7143 -2.6216
Tl 0.8879 1.4132 13.1081
```

## Properties
* density of states at the Fermi level: 7.6 states/eV/cell
* density: 6294 kg/m³
* space group: No. 122
* electronic total energy: -3.218 eV per atom
* DFT formation energy: 62 meV/atom